Compound: ScMnFe2
Source: Alexandria via LeMat-Bulk
Functional: PBE-GGA
Structure: relaxed

```
data_ScMnFe2
_symmetry_space_group_name_H-M 'P -1'
_symmetry_Int_Tables_number 2
_symmetry_space_group_name_Hall '-P 1'
_cell_length_a 4.754
_cell_length_b 6.495
_cell_length_c 7.739
_cell_angle_alpha 110.64
_cell_angle_beta 90.41
_cell_angle_gamma 90.27
loop_
_atom_site_label
_atom_site_type_symbol
_atom_site_fract_x
_atom_site_fract_y
_atom_site_fract_z
_atom_site_occupancy
Sc1 Sc 0.245 0.228 0.229 1
Sc2 Sc 0.253 0.411 0.658 1
Mn1 Mn 0.247 0.764 0.241 1
Mn2 Mn 0.253 0.107 0.824 1
Fe1 Fe 0.000 0.000 0.500 1
Fe2 Fe 0.000 0.500 0.000 1
Fe3 Fe 0.250 0.734 0.565 1
Fe4 Fe 0.261 0.820 0.950 1
Fe5 Fe 0.500 0.000 0.500 1
Fe6 Fe 0.500 0.500 0.000 1
```

## Properties
The size of the total moment is 2.762 μB per formula unit. As for the energy: -8.09 eV per atom. The density of states at the Fermi level comes out at 4.66 states/eV/f.u.